No. 1
Material: Dy5SbPb4
Method: DFT, PBE
State: relaxed

Summary:
Total moment ... 0.00 μB/cell
Crystal system ... tetragonal
ΔE_f (raw) ... -0.488 eV/atom
Mass density ... 9.49 Mg/m³
V ... 30.850 Å³ per atom

abc: 6.2700 7.6832 7.6832
angles: 80.42 65.92 65.92
Fractional coordinates of all 10 atoms:
Dy  0.9029  0.3901  0.8061
Dy  0.2930  0.8061  0.6099
Dy  0.7090  0.1939  0.3901
Dy  0.0991  0.6099  0.1939
Dy  0.5012  0.0000  0.0000
Sb  0.0013  0.0000  0.0000
Pb  0.4033  0.4001  0.7953
Pb  0.8034  0.7953  0.5999
Pb  0.1986  0.2047  0.4001
Pb  0.5987  0.5999  0.2047

No. 2
Material: MgSc2InN
Method: DFT, PBE
State: relaxed

Summary:
Total moment ... 0.00 μB/cell
Crystal system ... tetragonal
ΔE_f (raw) ... -0.907 eV/atom
Mass density ... 4.65 Mg/m³
V ... 17.362 Å³ per atom

abc: 4.4538 4.4538 4.3764
angles: 90.00 90.00 90.00
Fractional coordinates of all 5 atoms:
Sc  0.0000  0.5000  0.0000
Sc  0.5000  0.0000  0.0000
Mg  0.0000  0.0000  0.5000
N  0.0000  0.0000  0.0000
In  0.5000  0.5000  0.5000

No. 3
Material: La2Pm2H
Method: DFT, PBE
State: relaxed

Summary:
Total moment ... 0.00 μB/cell
Crystal system ... tetragonal
Relative energy among the computed polymorphs ... 5 meV/atom
Mass density ... 6.64 Mg/m³
V ... 28.455 Å³ per atom

abc: 5.1847 5.2384 5.2384
angles: 90.00 90.00 90.00
Fractional coordinates of all 5 atoms:
La  0.0000  0.0000  0.5000
La  0.0000  0.5000  0.0000
Pm  0.5000  0.5000  0.5000
Pm  0.5000  0.0000  0.0000
H  0.0000  0.0000  0.0000

No. 4
Material: KSnAu10
Method: DFT, PBE
State: relaxed

Summary:
Total moment ... 0.00 μB/cell
Crystal system ... orthorhombic
Formation enthalpy at 0 K ... -82 meV/atom
Mass density ... 13.55 Mg/m³
V ... 21.723 Å³ per atom

abc: 4.6668 5.6906 9.8158
angles: 90.00 90.00 90.00
Fractional coordinates of all 12 atoms:
K  0.0000  0.0000  0.0000
Sn  0.0000  0.5000  0.5000
Au  0.0000  0.0000  0.3410
Au  0.0000  0.5000  0.8149
Au  0.0000  0.5000  0.1851
Au  0.0000  0.0000  0.6590
Au  0.5000  0.0000  0.5000
Au  0.5000  0.5000  0.0000
Au  0.5000  0.2490  0.2498
Au  0.5000  0.7510  0.7502
Au  0.5000  0.7510  0.2498
Au  0.5000  0.2490  0.7502